(1)
! MnGe2Au | the Alexandria database | PBE | relaxed; values from VASP
! ΔE_f = 0.202 eV/atom
! distance to the lowest polymorph of the same formula = 80 meV per atom
! total moment = 0.91 μB per atom
&SYSTEM
  ibrav = 0, nat = 4, ntyp = 3
/
ATOMIC_SPECIES
Mn 54.94 Mn.upf
Ge 72.64 Ge.upf
Au 196.97 Au.upf
ATOMIC_POSITIONS angstrom
Mn 0.000 0.000 0.000
Ge 0.000 0.000 3.814
Ge 0.000 0.000 11.055
Au 0.000 0.000 7.434
CELL_PARAMETERS angstrom
2.046 1.181 4.956
-2.046 1.181 4.956
0.000 -2.362 4.956

(2)
! Pu8As3Se5 | the Alexandria database | PBE | relaxed; values from VASP
! E_form (uncorrected) = -1.333 eV per atom
! total moment = 1.36 μB per atom
&SYSTEM
  ibrav = 0, nat = 16, ntyp = 3
/
ATOMIC_SPECIES
Pu 244.00 Pu.upf
As 74.92 As.upf
Se 78.96 Se.upf
ATOMIC_POSITIONS angstrom
Pu -2.085 -1.204 11.815
Pu 0.000 0.000 5.046
Pu 0.000 -2.408 8.474
Pu -2.085 1.204 8.474
Pu 2.085 -1.204 11.815
Pu 0.000 2.408 11.815
Pu 0.000 0.000 15.243
Pu 2.085 1.204 8.474
As -4.145 0.000 10.145
As -2.073 1.197 3.382
As 2.073 1.197 3.382
Se 0.000 0.000 0.000
Se -2.073 -1.197 6.763
Se -2.073 1.197 13.526
Se 0.000 2.393 6.763
Se 0.000 0.000 10.145
CELL_PARAMETERS angstrom
4.145 2.393 6.763
-4.145 2.393 6.763
0.000 -4.786 6.763

(3)
! CeNd3Dy2 | the Alexandria database | PBE | relaxed; values from VASP
! ΔE_f = 0.065 eV/atom
! total moment = 0.22 μB per atom
&SYSTEM
  ibrav = 0, nat = 12, ntyp = 3
/
ATOMIC_SPECIES
Ce 140.12 Ce.upf
Nd 144.24 Nd.upf
Dy 162.50 Dy.upf
ATOMIC_POSITIONS angstrom
Ce 2.599 2.035 2.314
Ce 7.790 6.113 6.943
Nd 3.609 3.604 5.388
Nd 3.638 5.487 2.315
Nd 3.638 1.708 8.499
Nd 6.751 6.440 0.758
Nd 6.750 2.661 6.942
Nd 6.780 4.544 3.869
Dy 4.657 5.165 8.486
Dy 4.668 7.052 5.402
Dy 5.720 1.096 3.855
Dy 5.731 2.983 0.771
CELL_PARAMETERS angstrom
6.254 0.000 0.000
2.079 6.903 0.000
2.055 1.244 9.257

(4)
! Ba6SnP2I3 | the Alexandria database | PBE | relaxed; values from VASP
! E_form (uncorrected) = -1.267 eV per atom
! total moment = 0.02 μB per atom
&SYSTEM
  ibrav = 0, nat = 12, ntyp = 4
/
ATOMIC_SPECIES
Ba 137.33 Ba.upf
Sn 118.71 Sn.upf
P 30.97 P.upf
I 126.90 I.upf
ATOMIC_POSITIONS angstrom
Ba -0.317 0.000 2.516
Ba 5.825 0.000 4.452
Ba 4.941 0.000 8.769
Ba 14.317 0.000 1.259
Ba 13.433 0.000 5.576
Ba 19.575 0.000 7.512
Sn 11.043 0.000 0.000
P 2.780 0.000 3.418
P 16.479 0.000 6.610
I 1.303 0.000 8.322
I 9.629 0.000 5.014
I 17.955 0.000 1.706
CELL_PARAMETERS angstrom
11.043 -2.364 0.000
11.043 2.364 0.000
-2.827 0.000 10.028

(5)
! MgTl2Re | the Alexandria database | PBE | relaxed; values from VASP
! ΔE_f = 0.692 eV/atom
! distance to the lowest polymorph of the same formula = 104 meV per atom
! total moment = 0.00 μB per atom
&SYSTEM
  ibrav = 0, nat = 4, ntyp = 3
/
ATOMIC_SPECIES
Mg 24.30 Mg.upf
Tl 204.38 Tl.upf
Re 186.21 Re.upf
ATOMIC_POSITIONS angstrom
Mg 0.000 0.000 0.000
Tl 1.737 0.000 4.085
Tl 7.241 0.000 1.426
Re 4.489 0.000 2.756
CELL_PARAMETERS angstrom
4.940 -1.511 0.000
4.940 1.511 0.000
-0.902 0.000 5.511

(6)
! Cs2LaSbI6 | the Alexandria database | PBE | relaxed; values from VASP
! E_form (uncorrected) = -1.082 eV per atom
! total moment = 0.00 μB per atom
&SYSTEM
  ibrav = 0, nat = 10, ntyp = 4
/
ATOMIC_SPECIES
Cs 132.91 Cs.upf
La 138.91 La.upf
Sb 121.76 Sb.upf
I 126.90 I.upf
ATOMIC_POSITIONS angstrom
Cs 4.369 0.000 3.668
Cs 0.000 4.369 3.668
La 0.000 0.000 0.000
Sb 0.000 0.000 7.336
I 0.000 0.000 3.161
I 2.223 2.223 0.000
I 2.147 -2.147 7.336
I -2.147 2.147 7.336
I 2.147 2.147 7.336
I 0.000 0.000 11.511
CELL_PARAMETERS angstrom
-4.369 4.369 7.336
4.369 -4.369 7.336
4.369 4.369 -7.336

(7)
! CuNiSe2 | the Alexandria database | PBE | relaxed; values from VASP
! E_form (uncorrected) = -0.136 eV per atom
! total moment = 0.00 μB per atom
&SYSTEM
  ibrav = 0, nat = 8, ntyp = 3
/
ATOMIC_SPECIES
Cu 63.55 Cu.upf
Ni 58.69 Ni.upf
Se 78.96 Se.upf
ATOMIC_POSITIONS angstrom
Cu 2.375 0.000 0.873
Cu 7.688 0.000 5.622
Ni 5.001 0.000 0.640
Ni 5.062 0.000 5.855
Se -0.201 0.000 4.710
Se 2.994 0.000 4.773
Se 7.070 0.000 1.722
Se 10.265 0.000 1.786
CELL_PARAMETERS angstrom
6.143 -1.819 0.000
6.143 1.819 0.000
-2.221 0.000 6.495

(8)
! CaTm3Cu | the Alexandria database | PBE | relaxed; values from VASP
! ΔE_f = 0.109 eV/atom
! total moment = 0.21 μB per atom
&SYSTEM
  ibrav = 0, nat = 5, ntyp = 3
/
ATOMIC_SPECIES
Ca 40.08 Ca.upf
Tm 168.93 Tm.upf
Cu 63.55 Cu.upf
ATOMIC_POSITIONS angstrom
Ca 0.000 0.000 0.000
Tm 0.000 2.693 2.693
Tm 2.693 0.000 2.693
Tm 2.693 2.693 0.000
Cu 2.693 2.693 2.693
CELL_PARAMETERS angstrom
5.385 0.000 0.000
0.000 5.385 0.000
0.000 0.000 5.385

(9)
! Ta2TlPb | the Alexandria database | PBE | relaxed; values from VASP
! ΔE_f = 0.762 eV/atom
! distance to the lowest polymorph of the same formula = 404 meV per atom
! total moment = 0.00 μB per atom
&SYSTEM
  ibrav = 0, nat = 4, ntyp = 3
/
ATOMIC_SPECIES
Ta 180.95 Ta.upf
Tl 204.38 Tl.upf
Pb 207.20 Pb.upf
ATOMIC_POSITIONS angstrom
Ta 0.000 0.000 2.219
Ta 0.000 0.000 6.818
Tl 1.535 1.535 0.000
Pb 1.535 1.535 4.519
CELL_PARAMETERS angstrom
3.070 0.000 0.000
0.000 3.070 0.000
0.000 0.000 9.037

(10)
! Pr6Y5Ho | the Alexandria database | PBE | relaxed; values from VASP
! ΔE_f = 0.082 eV/atom
! distance to the lowest polymorph of the same formula = 75 meV per atom
! total moment = 0.00 μB per atom
&SYSTEM
  ibrav = 0, nat = 12, ntyp = 3
/
ATOMIC_SPECIES
Pr 140.91 Pr.upf
Y 88.91 Y.upf
Ho 164.93 Ho.upf
ATOMIC_POSITIONS angstrom
Pr 2.976 1.910 -2.962
Pr 0.000 1.894 0.000
Pr 2.976 1.910 2.962
Pr 0.000 1.940 5.990
Pr 0.000 5.807 0.000
Pr 0.000 1.940 11.914
Y 0.000 0.000 3.013
Y 2.976 0.000 5.969
Y 0.000 0.000 8.952
Y 0.000 3.851 2.982
Y 0.000 0.000 14.890
Ho 2.976 0.000 0.000
CELL_PARAMETERS angstrom
-2.976 3.851 8.952
2.976 -3.851 8.952
2.976 3.851 -8.952

(11)
! BeReSe2N | the Alexandria database | PBE | relaxed; values from VASP
! E_form (uncorrected) = 0.865 eV per atom
! distance to the lowest polymorph of the same formula = 210 meV per atom
! total moment = 0.35 μB per atom
&SYSTEM
  ibrav = 0, nat = 5, ntyp = 4
/
ATOMIC_SPECIES
Be 9.01 Be.upf
Re 186.21 Re.upf
Se 78.96 Se.upf
N 14.01 N.upf
ATOMIC_POSITIONS angstrom
Be 0.000 0.000 0.000
Re 2.410 2.410 1.530
Se 0.000 2.410 0.000
Se 2.410 0.000 0.000
N 0.000 0.000 1.530
CELL_PARAMETERS angstrom
4.821 0.000 0.000
0.000 4.821 0.000
0.000 0.000 3.060

(12)
! IrRuF3 | the Alexandria database | PBE | relaxed; values from VASP
! E_form (uncorrected) = 0.179 eV per atom
! distance to the lowest polymorph of the same formula = 0 meV per atom
! total moment = 0.56 μB per atom
&SYSTEM
  ibrav = 0, nat = 5, ntyp = 3
/
ATOMIC_SPECIES
Ir 192.22 Ir.upf
Ru 101.07 Ru.upf
F 19.00 F.upf
ATOMIC_POSITIONS angstrom
Ir 0.000 0.000 0.000
Ru 2.123 2.123 2.123
F 0.000 0.000 2.123
F 0.000 2.123 0.000
F 2.123 0.000 0.000
CELL_PARAMETERS angstrom
4.247 0.000 0.000
0.000 4.247 0.000
0.000 0.000 4.247

(13)
! Er6P2CSe3 | the Alexandria database | PBE | relaxed; values from VASP
! E_form (uncorrected) = -1.566 eV per atom
! total moment = 0.00 μB per atom
&SYSTEM
  ibrav = 0, nat = 12, ntyp = 4
/
ATOMIC_SPECIES
Er 167.26 Er.upf
P 30.97 P.upf
C 12.01 C.upf
Se 78.96 Se.upf
ATOMIC_POSITIONS angstrom
Er -0.396 0.000 1.643
Er 4.874 0.000 3.313
Er 4.262 0.000 7.099
Er 11.061 0.000 0.648
Er 10.449 0.000 4.434
Er 15.718 0.000 6.105
P 2.204 0.000 2.568
P 13.119 0.000 5.179
C 8.670 0.000 0.000
Se 1.261 0.000 6.477
Se 7.661 0.000 3.874
Se 14.062 0.000 1.271
CELL_PARAMETERS angstrom
8.670 -1.945 0.000
8.670 1.945 0.000
-2.018 0.000 7.748

(14)
! SrCe2ThAs4 | the Alexandria database | PBE | relaxed; values from VASP
! ΔE_f = -1.366 eV/atom
! total moment = 0.17 μB per atom
&SYSTEM
  ibrav = 0, nat = 8, ntyp = 4
/
ATOMIC_SPECIES
Sr 87.62 Sr.upf
Ce 140.12 Ce.upf
Th 232.04 Th.upf
As 74.92 As.upf
ATOMIC_POSITIONS angstrom
Sr 0.000 0.000 0.000
Ce 2.483 0.000 3.510
Ce 3.713 2.142 0.000
Th -1.231 2.142 3.510
As 0.064 0.000 5.221
As 1.304 2.142 1.862
As 3.661 2.142 5.158
As 4.901 0.000 1.798
CELL_PARAMETERS angstrom
7.426 0.000 0.000
0.000 4.284 0.000
-2.461 0.000 7.019

(15)
! CaLaTh2Sb4 | the Alexandria database | PBE | relaxed; values from VASP
! E_form (uncorrected) = -1.055 eV per atom
! total moment = 0.00 μB per atom
&SYSTEM
  ibrav = 0, nat = 8, ntyp = 4
/
ATOMIC_SPECIES
Ca 40.08 Ca.upf
La 138.91 La.upf
Th 232.04 Th.upf
Sb 121.76 Sb.upf
ATOMIC_POSITIONS angstrom
Ca 0.000 0.000 0.000
La 3.929 2.273 0.000
Th -1.314 2.273 3.722
Th 2.615 0.000 3.722
Sb -0.021 0.000 5.546
Sb 1.296 2.273 1.901
Sb 3.935 2.273 5.544
Sb 5.252 0.000 1.899
CELL_PARAMETERS angstrom
7.859 0.000 0.000
0.000 4.547 0.000
-2.628 0.000 7.445

(16)
! Ca2PSe | the Alexandria database | PBE | relaxed; values from VASP
! E_form (uncorrected) = -1.344 eV per atom
! distance to the lowest polymorph of the same formula = 0 meV per atom
! total moment = 0.00 μB per atom
&SYSTEM
  ibrav = 0, nat = 4, ntyp = 3
/
ATOMIC_SPECIES
Ca 40.08 Ca.upf
P 30.97 P.upf
Se 78.96 Se.upf
ATOMIC_POSITIONS angstrom
Ca 0.000 0.000 5.397
Ca 0.000 0.000 16.311
P 0.000 0.000 0.000
Se 0.000 0.000 10.854
CELL_PARAMETERS angstrom
2.026 1.170 7.236
-2.026 1.170 7.236
0.000 -2.340 7.236

(17)
! GaAgS2Cl | the Alexandria database | PBE | relaxed; values from VASP
! E_form (uncorrected) = 0.331 eV per atom
! distance to the lowest polymorph of the same formula = 211 meV per atom
! total moment = 0.07 μB per atom
&SYSTEM
  ibrav = 0, nat = 5, ntyp = 4
/
ATOMIC_SPECIES
Ga 69.72 Ga.upf
Ag 107.87 Ag.upf
S 32.06 S.upf
Cl 35.45 Cl.upf
ATOMIC_POSITIONS angstrom
Ga 0.000 0.000 0.000
Ag 2.425 2.425 2.604
S 0.000 2.425 2.604
S 2.425 0.000 2.604
Cl 2.425 2.425 0.000
CELL_PARAMETERS angstrom
4.849 0.000 0.000
0.000 4.849 0.000
0.000 0.000 5.209

(18)
! YScZnSi | the Alexandria database | PBE | relaxed; values from VASP
! E_form (uncorrected) = -0.465 eV per atom
! total moment = 0.00 μB per atom
&SYSTEM
  ibrav = 0, nat = 4, ntyp = 4
/
ATOMIC_SPECIES
Y 88.91 Y.upf
Sc 44.96 Sc.upf
Zn 65.41 Zn.upf
Si 28.09 Si.upf
ATOMIC_POSITIONS angstrom
Y 0.000 0.000 0.000
Sc 3.419 3.419 3.419
Zn 1.710 1.710 1.710
Si 5.129 5.129 5.129
CELL_PARAMETERS angstrom
0.000 3.419 3.419
3.419 0.000 3.419
3.419 3.419 0.000

(19)
! KRb2LiAu | the Alexandria database | PBE | relaxed; values from VASP
! ΔE_f = -0.069 eV/atom
! distance to the lowest polymorph of the same formula = 0 meV per atom
! total moment = 0.00 μB per atom
&SYSTEM
  ibrav = 0, nat = 5, ntyp = 4
/
ATOMIC_SPECIES
K 39.10 K.upf
Rb 85.47 Rb.upf
Li 6.94 Li.upf
Au 196.97 Au.upf
ATOMIC_POSITIONS angstrom
K 0.000 0.000 0.000
Rb 0.000 3.477 2.667
Rb 3.477 0.000 2.667
Li 3.477 3.477 0.000
Au 3.477 3.477 2.667
CELL_PARAMETERS angstrom
6.954 0.000 0.000
0.000 6.954 0.000
0.000 0.000 5.334

(20)
! Os2RuRh | the Alexandria database | PBE | relaxed; values from VASP
! ΔE_f = 0.111 eV/atom
! distance to the lowest polymorph of the same formula = 25 meV per atom
! total moment = 0.00 μB per atom
&SYSTEM
  ibrav = 0, nat = 4, ntyp = 3
/
ATOMIC_SPECIES
Os 190.23 Os.upf
Ru 101.07 Ru.upf
Rh 102.91 Rh.upf
ATOMIC_POSITIONS angstrom
Os 0.000 1.916 0.000
Os 1.916 0.000 0.000
Ru 0.000 0.000 1.930
Rh 1.916 1.916 1.930
CELL_PARAMETERS angstrom
3.832 0.000 0.000
0.000 3.832 0.000
0.000 0.000 3.859